# 1
Tc2MoOs | PBE-GGA | relaxed

Output
Excess energy over the best structure of this formula in the dataset, meV per atom: 238
Energy of formation from the pure elements, eV/f.u.: 1.2

Cell lengths 3.1255, 3.1255, 6.1500 Å; angles 90.00, 90.00, 90.00 degrees
Fractional coordinates of all 4 atoms:
Os1 0.5000 0.5000 0.7500
Mo1 0.5000 0.5000 0.2500
Tc1 0.0000 0.0000 0.4889
Tc2 0.0000 0.0000 0.0111

***

# 2
LaSi3Tc | PBE-GGA | relaxed

Output
Excess energy over the best structure of this formula in the dataset, meV per atom: 0
Formation energy (no corrections), eV per atom: -0.552

Cell lengths 4.3014, 4.3014, 5.9004 Å; angles 111.38, 111.38, 90.00 degrees
Fractional coordinates of all 5 atoms:
Si1 0.7607 0.2607 0.5213
Si2 0.2607 0.7607 0.5213
Tc1 0.6542 0.6542 0.3084
La1 0.9966 0.9966 0.9933
Si3 0.4181 0.4181 0.8362

***

# 3
Cd7InHg6 | PBE-GGA | relaxed

Output
Energy of formation from the pure elements, eV/f.u.: 0.6

Cell lengths 6.0670, 12.1484, 12.1484 Å; angles 115.34, 75.54, 75.54 degrees
Fractional coordinates of all 28 atoms:
Cd1 0.0120 0.6420 0.1014
Cd2 0.2500 0.2500 0.2500
Cd3 0.5120 0.6014 0.1420
In1 0.2500 0.7500 0.7500
Cd4 0.9880 0.3580 0.8986
Hg1 0.8144 0.3840 0.6160
Cd5 0.4880 0.3986 0.8580
Hg2 0.0575 0.5483 0.8099
Hg3 0.3144 0.1160 0.8840
Cd6 0.7388 0.5251 0.4749
Cd7 0.7500 0.7500 0.7500
Cd8 0.7612 0.0251 0.9749
Hg4 0.9425 0.4517 0.1901
Cd9 0.7446 0.1420 0.6014
Cd10 0.2612 0.4749 0.5251
Cd11 0.2554 0.8580 0.3986
Hg5 0.6856 0.8840 0.1160
In2 0.7500 0.2500 0.2500
Hg6 0.4425 0.6901 0.9517
Cd12 0.2388 0.9749 0.0251
Hg7 0.1856 0.6160 0.3840
Hg8 0.5843 0.8099 0.5483
Hg9 0.9157 0.9517 0.6901
Hg10 0.5575 0.3099 0.0483
Hg11 0.4157 0.1901 0.4517
Cd13 0.2446 0.1014 0.6420
Cd14 0.7554 0.8986 0.3580
Hg12 0.0843 0.0483 0.3099